A.
The following is a DFT calculation (PBE) of crystalline MgMoCl2 at its relaxed geometry.

a = 4.222 Å, b = 3.034 Å, c = 5.716 Å
α = 97.67°, β = 90.00°, γ = 90.00°
Atoms (fractional coordinates):
Mg1 0.500 0.250 0.250
Mo1 0.500 0.750 0.750
Cl1 0.000 0.867 0.995
Cl2 0.000 0.633 0.505

SG = P2/m
D(E_F) = 0.3718 states/eV/atom
V = 18.138 Å³ per atom

---

B.
The following is a DFT calculation (PBE) of crystalline MgMoCl2 at its relaxed geometry.

a = 3.102 Å, b = 3.102 Å, c = 9.239 Å
α = 90.00°, β = 90.00°, γ = 90.00°
Atoms (fractional coordinates):
Mo1 0.500 0.500 0.750
Mg1 0.500 0.500 0.250
Cl1 0.000 0.000 0.588
Cl2 0.000 0.000 0.912

SG = P4/mmm
D(E_F) = 0.7477 states/eV/atom
V = 22.218 Å³ per atom

---

Structures ranked by computed energy, the most stable listed first: A, B.

---

A.
The following is a DFT calculation (PBE) of crystalline Mg2MoCl2 at its relaxed geometry.

a = 8.469 Å, b = 8.469 Å, c = 3.658 Å
α = 90.00°, β = 90.00°, γ = 90.00°
Atoms (fractional coordinates):
Mg1 0.269 0.769 0.000
Mg2 0.731 0.231 0.000
Mo1 0.000 0.000 0.000
Cl1 0.133 0.633 0.500
Cl2 0.367 0.133 0.500
Cl3 0.867 0.367 0.500
Cl4 0.633 0.867 0.500
Mg3 0.231 0.269 0.000
Mo2 0.500 0.500 0.000
Mg4 0.769 0.731 0.000

SG = P4/mbm
D(E_F) = 0.3281 states/eV/atom
V = 26.237 Å³ per atom

---

B.
The following is a DFT calculation (PBE) of crystalline Mg2MoCl2 at its relaxed geometry.

a = 4.357 Å, b = 4.357 Å, c = 6.723 Å
α = 71.10°, β = 71.10°, γ = 90.00°
Atoms (fractional coordinates):
Cl1 0.250 0.750 0.500
Mg1 0.378 0.378 0.245
Mg2 0.622 0.622 0.755
Cl2 0.750 0.250 0.500
Mo1 0.000 0.000 0.000

SG = I4/mmm
D(E_F) = 0.3017 states/eV/atom
V = 22.684 Å³ per atom

---

Structures ranked by computed energy, the most stable listed first: B, A.

---

A.
The following is a DFT calculation (PBE) of crystalline Mg3MoCl at its relaxed geometry.

a = 4.750 Å, b = 4.750 Å, c = 4.750 Å
α = 90.00°, β = 90.00°, γ = 90.00°
Atoms (fractional coordinates):
Mg1 0.000 0.500 0.000
Mg2 0.500 0.000 0.000
Mg3 0.000 0.000 0.500
Cl1 0.000 0.000 0.000
Mo1 0.500 0.500 0.500

SG = Pm-3m
D(E_F) = 0.7967 states/eV/atom
V = 21.438 Å³ per atom

---

B.
The following is a DFT calculation (PBE) of crystalline Mg3MoCl at its relaxed geometry.

a = 5.506 Å, b = 5.506 Å, c = 5.506 Å
α = 90.00°, β = 90.00°, γ = 90.00°
Atoms (fractional coordinates):
Mo1 0.000 0.000 0.000
Mg1 0.000 0.500 0.000
Mg2 0.000 0.000 0.500
Mg3 0.500 0.000 0.000
Cl1 0.500 0.500 0.500

SG = Pm-3m
D(E_F) = 0.6770 states/eV/atom
V = 33.388 Å³ per atom

---

Structures ranked by computed energy, the most stable listed first: A, B.

---

A.
The following is a DFT calculation (PBE) of crystalline MgMoS2Cl at its relaxed geometry.

a = 4.858 Å, b = 4.858 Å, c = 4.545 Å
α = 90.00°, β = 90.00°, γ = 90.00°
Atoms (fractional coordinates):
Mo1 0.500 0.500 0.500
Cl1 0.000 0.000 0.500
Mg1 0.000 0.000 0.000
S1 0.500 0.000 0.000
S2 0.000 0.500 0.000

SG = P4/mmm
D(E_F) = 0.5100 states/eV/atom
V = 21.455 Å³ per atom

---

B.
The following is a DFT calculation (PBE) of crystalline MgMoS2Cl at its relaxed geometry.

a = 4.668 Å, b = 4.668 Å, c = 4.989 Å
α = 90.00°, β = 90.00°, γ = 90.00°
Atoms (fractional coordinates):
Cl1 0.000 0.000 0.500
Mo1 0.000 0.000 0.000
Mg1 0.500 0.500 0.500
S1 0.000 0.500 0.000
S2 0.500 0.000 0.000

SG = P4/mmm
D(E_F) = 0.6569 states/eV/atom
V = 21.738 Å³ per atom

---

Structures ranked by computed energy, the most stable listed first: B, A.